Compound: VReO4
Source: Alexandria via LeMat-Bulk
Functional: PBE+U
Structure: relaxed

a b c (Å): 4.6302 5.6481 10.1858
angles (deg): 90.00 90.00 90.00
Element x y z (fractional)
V 0.0000 0.0000 0.0000
V 0.0000 0.0000 0.5000
V 0.5000 0.5000 0.0000
V 0.5000 0.5000 0.5000
Re 0.0000 0.3034 0.2500
Re 0.0000 0.6966 0.7500
Re 0.5000 0.1966 0.7500
Re 0.5000 0.8034 0.2500
O 0.2070 0.2838 0.0844
O 0.2070 0.7162 0.5844
O 0.2395 0.0403 0.3220
O 0.2395 0.9597 0.8220
O 0.2605 0.4597 0.8220
O 0.2605 0.5403 0.3220
O 0.2930 0.2162 0.5844
O 0.2930 0.7838 0.0844
O 0.7070 0.2162 0.9156
O 0.7070 0.7838 0.4156
O 0.7395 0.4597 0.6780
O 0.7395 0.5403 0.1780
O 0.7605 0.0403 0.1780
O 0.7605 0.9597 0.6780
O 0.7930 0.2838 0.4156
O 0.7930 0.7162 0.9156

Total magnetic moment: 9.77 μB/cell
Uncorrected energy: -49.8 eV/f.u.